Record 1
The following is a DFT calculation (PBE-GGA) of ReTe2As after structural relaxation. Values from VASP.

total DFT energy (no corrections) = -5.4229 eV/atom
SG = Immm, No. 71

Geometry as Quantum ESPRESSO input:
```
&SYSTEM
  ibrav = 0, nat = 4, ntyp = 3
/
ATOMIC_SPECIES
Re 186.21 Re.upf
Te 127.60 Te.upf
As 74.92 As.upf
CELL_PARAMETERS angstrom
7.220 0.041 -0.008
5.145 5.066 0.008
-5.888 -3.267 2.607
ATOMIC_POSITIONS crystal
Re 0.250 0.750 0.500
Te 0.418 0.418 0.000
Te 0.082 0.082 0.000
As 0.750 0.250 0.500
```


Record 2
The following is a DFT calculation (PBE-GGA) of ReTeAs2 after structural relaxation. Values from VASP.

total DFT energy (no corrections) = -5.2919 eV/atom
SG = P4/mmm, No. 123

Geometry as Quantum ESPRESSO input:
```
&SYSTEM
  ibrav = 0, nat = 4, ntyp = 3
/
ATOMIC_SPECIES
As 74.92 As.upf
Re 186.21 Re.upf
Te 127.60 Te.upf
CELL_PARAMETERS angstrom
4.807 0.000 0.000
0.000 4.807 0.000
0.000 0.000 3.225
ATOMIC_POSITIONS crystal
As 0.000 0.000 0.000
As 0.500 0.500 0.000
Re 0.500 0.000 0.500
Te 0.000 0.500 0.500
```


Record 3
The following is a DFT calculation (PBE-GGA) of ReTeAs2 after structural relaxation. Values from VASP.

total DFT energy (no corrections) = -5.8599 eV/atom
SG = Pm, No. 6

Geometry as Quantum ESPRESSO input:
```
&SYSTEM
  ibrav = 0, nat = 4, ntyp = 3
/
ATOMIC_SPECIES
As 74.92 As.upf
Te 127.60 Te.upf
Re 186.21 Re.upf
CELL_PARAMETERS angstrom
4.359 0.000 0.000
0.000 3.320 0.033
0.000 -0.072 6.496
ATOMIC_POSITIONS crystal
As 0.500 0.499 0.224
As 0.000 0.999 0.151
Te 0.500 0.501 0.692
Re 0.000 0.500 0.433
```


Record 4
The following is a DFT calculation (PBE-GGA) of Th4ReTe2As after structural relaxation. Values from VASP.

total DFT energy (no corrections) = -7.5290 eV/atom
SG = P2/m, No. 10

Geometry as Quantum ESPRESSO input:
```
&SYSTEM
  ibrav = 0, nat = 8, ntyp = 4
/
ATOMIC_SPECIES
Th 232.04 Th.upf
Te 127.60 Te.upf
As 74.92 As.upf
Re 186.21 Re.upf
CELL_PARAMETERS angstrom
4.241 0.000 0.000
0.000 7.590 0.190
0.000 -2.600 7.409
ATOMIC_POSITIONS crystal
Th 0.500 0.251 0.212
Th 0.000 0.284 0.796
Te 0.500 0.000 0.500
Te 0.000 0.500 0.500
Th 0.500 0.749 0.788
Th 0.000 0.716 0.204
As 0.000 0.000 0.000
Re 0.500 0.500 0.000
```


Record 5
The following is a DFT calculation (PBE-GGA) of TiReAs3 after structural relaxation. Values from VASP.

SG = Pm-3m, No. 221
formation energy from the elements = 767 meV per atom
ΔE to the lowest computed polymorph = 0 kJ/mol of formula units

Geometry as Quantum ESPRESSO input:
```
&SYSTEM
  ibrav = 0, nat = 5, ntyp = 3
/
ATOMIC_SPECIES
Ti 47.87 Ti.upf
Re 186.21 Re.upf
As 74.92 As.upf
CELL_PARAMETERS angstrom
-1.379 -3.545 2.986
4.477 -0.211 1.817
-1.202 3.283 3.342
ATOMIC_POSITIONS crystal
Ti 0.500 0.500 0.500
Re 0.000 0.000 0.000
As 0.500 0.000 0.000
As 0.000 0.000 0.500
As 0.000 0.500 0.000
```


Record 6
The following is a DFT calculation (PBE-GGA) of Ti2ReAs2 after structural relaxation. Values from VASP.

SG = P4/mbm, No. 127
formation energy from the elements = -462 meV per atom

Geometry as Quantum ESPRESSO input:
```
&SYSTEM
  ibrav = 0, nat = 10, ntyp = 3
/
ATOMIC_SPECIES
As 74.92 As.upf
Re 186.21 Re.upf
Ti 47.87 Ti.upf
CELL_PARAMETERS angstrom
-1.162 -6.442 -1.442
-0.191 -1.430 6.545
-3.419 0.609 0.034
ATOMIC_POSITIONS crystal
As 0.149 0.351 0.000
Re 0.500 0.500 0.000
As 0.351 0.851 0.000
Ti 0.652 0.848 0.500
Ti 0.348 0.152 0.500
As 0.649 0.149 0.000
As 0.851 0.649 0.000
Re 0.000 0.000 0.000
Ti 0.152 0.652 0.500
Ti 0.848 0.348 0.500
```


Record 7
The following is a DFT calculation (PBE-GGA) of TiRe3As after structural relaxation. Values from VASP.

SG = Pm-3m, No. 221
formation energy from the elements = 1269 meV per atom
ΔE to the lowest computed polymorph = 0 kJ/mol of formula units

Geometry as Quantum ESPRESSO input:
```
&SYSTEM
  ibrav = 0, nat = 5, ntyp = 3
/
ATOMIC_SPECIES
As 74.92 As.upf
Re 186.21 Re.upf
Ti 47.87 Ti.upf
CELL_PARAMETERS angstrom
4.510 0.000 0.000
0.000 4.510 0.000
0.000 0.000 4.510
ATOMIC_POSITIONS crystal
As 0.000 0.000 0.000
Re 0.000 0.500 0.000
Re 0.000 0.000 0.500
Ti 0.500 0.500 0.500
Re 0.500 0.000 0.000
```


Record 8
The following is a DFT calculation (PBE-GGA) of TiRe3As6 after structural relaxation. Values from VASP.

SG = P2_1/m, No. 11
formation energy from the elements = -91 meV per atom

Geometry as Quantum ESPRESSO input:
```
&SYSTEM
  ibrav = 0, nat = 20, ntyp = 3
/
ATOMIC_SPECIES
As 74.92 As.upf
Re 186.21 Re.upf
Ti 47.87 Ti.upf
CELL_PARAMETERS angstrom
-1.024 -1.844 -2.349
8.507 3.544 -6.492
0.907 -9.493 7.058
ATOMIC_POSITIONS crystal
As 0.750 0.112 0.987
Re 0.250 0.122 0.553
Ti 0.250 0.236 0.897
Re 0.750 0.518 0.740
As 0.750 0.289 0.744
As 0.250 0.559 0.920
As 0.750 0.441 0.080
As 0.750 0.041 0.362
As 0.750 0.650 0.446
Ti 0.750 0.764 0.103
As 0.250 0.888 0.013
Re 0.750 0.077 0.182
As 0.750 0.716 0.702
As 0.250 0.284 0.298
Re 0.250 0.482 0.260
Re 0.750 0.878 0.447
As 0.250 0.959 0.638
As 0.250 0.711 0.256
As 0.250 0.350 0.554
Re 0.250 0.923 0.818
```


Record 9
The following is a DFT calculation (PBE-GGA) of TiRe3As after structural relaxation. Values from VASP.

SG = Pm-3m, No. 221
formation energy from the elements = 2016 meV per atom
ΔE to the lowest computed polymorph = 360 kJ/mol of formula units

Geometry as Quantum ESPRESSO input:
```
&SYSTEM
  ibrav = 0, nat = 5, ntyp = 3
/
ATOMIC_SPECIES
Ti 47.87 Ti.upf
Re 186.21 Re.upf
As 74.92 As.upf
CELL_PARAMETERS angstrom
4.583 0.000 0.000
0.000 4.583 0.000
0.000 0.000 4.583
ATOMIC_POSITIONS crystal
Ti 0.000 0.000 0.000
Re 0.000 0.000 0.500
As 0.500 0.500 0.500
Re 0.000 0.500 0.000
Re 0.500 0.000 0.000
```


Record 10
The following is a DFT calculation (PBE-GGA) of TlRe2As after structural relaxation. Values from VASP.

SG = Pmmm, No. 47
formation energy from the elements = 1107 meV per atom
ΔE to the lowest computed polymorph = 301 kJ/mol of formula units

Geometry as Quantum ESPRESSO input:
```
&SYSTEM
  ibrav = 0, nat = 4, ntyp = 3
/
ATOMIC_SPECIES
Re 186.21 Re.upf
Tl 204.38 Tl.upf
As 74.92 As.upf
CELL_PARAMETERS angstrom
-0.659 -1.782 -2.436
4.799 -1.530 -0.178
-0.987 -3.418 2.767
ATOMIC_POSITIONS crystal
Re 0.000 0.000 0.000
Tl 0.500 0.000 0.500
As 0.000 0.500 0.500
Re 0.500 0.500 0.000
```


Record 11
The following is a DFT calculation (PBE-GGA) of Tl2ReAs after structural relaxation. Values from VASP.

SG = Fm-3m, No. 225
formation energy from the elements = 1171 meV per atom
ΔE to the lowest computed polymorph = 330 kJ/mol of formula units

Geometry as Quantum ESPRESSO input:
```
&SYSTEM
  ibrav = 0, nat = 4, ntyp = 3
/
ATOMIC_SPECIES
As 74.92 As.upf
Tl 204.38 Tl.upf
Re 186.21 Re.upf
CELL_PARAMETERS angstrom
2.749 -0.440 4.071
-1.780 1.490 4.351
-1.203 -3.322 3.440
ATOMIC_POSITIONS crystal
As 0.000 0.000 0.000
Tl 0.250 0.250 0.250
Tl 0.750 0.750 0.750
Re 0.500 0.500 0.500
```


Record 12
The following is a DFT calculation (PBE-GGA) of TlRe2As after structural relaxation. Values from VASP.

SG = Imm2, No. 44
formation energy from the elements = 859 meV per atom
ΔE to the lowest computed polymorph = 205 kJ/mol of formula units

Geometry as Quantum ESPRESSO input:
```
&SYSTEM
  ibrav = 0, nat = 4, ntyp = 3
/
ATOMIC_SPECIES
Re 186.21 Re.upf
As 74.92 As.upf
Tl 204.38 Tl.upf
CELL_PARAMETERS angstrom
-3.825 3.507 2.780
-5.200 -1.841 2.058
5.882 -0.249 -0.066
ATOMIC_POSITIONS crystal
Re 0.996 0.996 0.000
As 0.214 0.714 0.500
Re 0.790 0.290 0.500
Tl 0.501 0.501 0.000
```


Number 1: volume 23.72 Å³/atom. Number 2: volume 18.63 Å³/atom. Number 3: volume 23.50 Å³/atom. Number 4: volume 30.07 Å³/atom. Number 5: volume 22.62 Å³/atom. Number 6: volume 15.60 Å³/atom. Number 7: volume 18.34 Å³/atom. Number 8: volume 17.81 Å³/atom. Number 9: volume 19.25 Å³/atom. Number 10: volume 17.55 Å³/atom. Number 11: volume 21.20 Å³/atom. Number 12: volume 18.13 Å³/atom.